DFT (GGA-PBE) results for Sc2TaBr after structural relaxation.

Properties
- Uncorrected formation energy: 0.34 eV/f.u.
- Offset from the most stable computed form: 0.389 eV per atom
- Total moment: 0.00 μB/f.u.
- D(E_F): 1.112 states/eV/atom

a = 3.1546 Å, b = 5.1312 Å, c = 10.8676 Å
α = 90.00°, β = 90.00°, γ = 90.00°
Space group Imm2 (No. 44)
Symmetry-distinct sites (fractional):
1 Sc 0.0000 0.0000 0.0000
2 Sc 0.0000 0.5000 0.2072
3 Ta 0.0000 0.5000 0.7302
4 Br 0.0000 0.0000 0.4403



DFT (GGA-PBE) results for CaAlBi2Br after structural relaxation.

Properties
- Uncorrected formation energy: -0.78 eV/f.u.
- Total moment: 0.00 μB/f.u.
- D(E_F): 0.779 states/eV/atom

a = 5.4782 Å, b = 5.4782 Å, c = 5.4417 Å
α = 90.00°, β = 90.00°, γ = 90.00°
Space group P4/mmm (No. 123)
Symmetry-distinct sites (fractional):
1 Ca 0.0000 0.0000 0.0000
2 Al 0.5000 0.5000 0.5000
3 Bi 0.0000 0.5000 0.5000
4 Br 0.5000 0.5000 0.0000